# 1
DFT (PBE) results for a geometry-optimized Tb2SmAu structure.

Unit cell a=4.9644 b=6.5051 c=7.8229 alpha=90.00 beta=90.00 gamma=112.42
Closest atoms and distances in Å follow each position.
Positions (direct):
Tb 0.3560 0.7119 0.5345  3 Au 2.88-3.08
Tb 0.6440 0.2881 0.4655  3 Au 2.88-3.08
Tb 0.3560 0.7119 0.9655  3 Au 2.88-3.08
Tb 0.6440 0.2881 0.0345  3 Au 2.88-3.08
Sm 0.9539 0.9079 0.2500  1 Au 3.00
Sm 0.0461 0.0921 0.7500  1 Au 3.00
Au 0.7964 0.5928 0.7500  6 Tb 2.88-3.08, 1 Sm 3.00
Au 0.2036 0.4072 0.2500  6 Tb 2.88-3.08, 1 Sm 3.00

Computed properties:
The spin magnetization is 0.00 Bohr magnetons per cell. The calculation puts the density of states at the Fermi level at 10.2 states/eV per cell. As for the energy above the most stable polymorph in this dataset: 28 meV per atom. As for the calculated formation energy: -0.399 eV per atom. Its space group is Cmcm.


# 2
DFT (PBE) results for a geometry-optimized Pr2TmSn structure.

Unit cell a=3.4598 b=5.6839 c=13.8534 alpha=90.00 beta=97.17 gamma=90.00
Closest atoms and distances in Å follow each position.
Positions (direct):
Pr 0.8116 0.7500 0.6233  5 Sn 3.19-3.33, 2 Pr 3.46
Pr 0.0942 0.7500 0.1884  2 Sn 3.28, 3 Tm 3.36-3.37, 2 Pr 3.46
Pr 0.1884 0.2500 0.3767  5 Sn 3.19-3.33, 2 Pr 3.46
Pr 0.9058 0.2500 0.8116  2 Sn 3.28, 3 Tm 3.36-3.37, 2 Pr 3.46
Tm 0.9719 0.7500 0.9438  4 Tm 3.24-3.46, 3 Pr 3.36-3.37
Tm 0.0281 0.2500 0.0562  4 Tm 3.24-3.46, 3 Pr 3.36-3.37
Sn 0.6956 0.7500 0.3911  7 Pr 3.19-3.33, 2 Sn 3.46
Sn 0.3044 0.2500 0.6089  7 Pr 3.19-3.33, 2 Sn 3.46

Computed properties:
The spin magnetization is 0.00 Bohr magnetons per cell. The calculation puts the density of states at the Fermi level at 11.0 states/eV per cell. As for the energy above the most stable polymorph in this dataset: 365 meV per atom. As for the calculated formation energy: -0.055 eV per atom. Its space group is Cmcm.


# 3
DFT (PBE) results for a geometry-optimized ZrAsBr2 structure.

Unit cell a=3.6749 b=3.9390 c=8.3173 alpha=77.00 beta=90.00 gamma=90.00
Closest atoms and distances in Å follow each position.
Positions (direct):
As 0.5000 0.7337 0.6597  4 Zr 2.75
Br 0.0000 0.1090 0.9189  1 Zr 2.64
Br 0.5000 0.3921 0.3283  2 Zr 2.83
Zr 0.0000 0.2652 0.5931  3 Br 2.64-2.83, 4 As 2.75

Computed properties:
The calculation puts the formation energy (no corrections) at -0.827 eV/atom. The spin magnetization is 0.00 Bohr magnetons per cell. The calculation puts the density of states at the Fermi level at 3.1 states/eV per cell. As for the energy above the most stable polymorph in this dataset: 0 meV per atom. Its space group is Pm.


# 4
DFT (PBE) results for a geometry-optimized Er2RhAu structure.

Unit cell a=3.5015 b=3.5015 c=6.9041 alpha=90.00 beta=90.00 gamma=90.00
Closest atoms and distances in Å follow each position.
Positions (direct):
Rh 0.5000 0.5000 0.0000  8 Er 2.97
Au 0.5000 0.5000 0.5000  8 Er 3.07
Er 0.0000 0.0000 0.7628  4 Rh 2.97, 4 Au 3.07, 1 Er 3.28
Er 0.0000 0.0000 0.2372  4 Rh 2.97, 4 Au 3.07, 1 Er 3.28

Computed properties:
The spin magnetization is 0.00 Bohr magnetons per cell. The calculation puts the density of states at the Fermi level at 4.6 states/eV per cell. As for the calculated formation energy: -0.891 eV per atom. Its space group is P4/mmm.


# 5
DFT (PBE) results for a geometry-optimized La3Ce2TmTe6 structure.

Unit cell a=7.7750 b=7.7750 c=7.8575 alpha=99.52 beta=99.52 gamma=120.10
Closest atoms and distances in Å follow each position.
Positions (direct):
La 0.1711 0.8289 0.5000  6 Te 3.21-3.26
La 0.8289 0.1711 0.5000  6 Te 3.21-3.26
La 0.5000 0.5000 0.5000  6 Te 3.22-3.28
Ce 0.3344 0.6656 0.0000  6 Te 3.16-3.17
Ce 0.6656 0.3344 0.0000  6 Te 3.16-3.17
Tm 0.0000 0.0000 0.0000  6 Te 3.07-3.09
Te 0.9216 0.5973 0.7628  1 Tm 3.07, 2 Ce 3.16-3.17, 3 La 3.21-3.26
Te 0.7574 0.7574 0.2424  1 Tm 3.09, 2 Ce 3.17, 3 La 3.23-3.28
Te 0.0784 0.4027 0.2372  1 Tm 3.07, 2 Ce 3.16-3.17, 3 La 3.21-3.26
Te 0.5973 0.9216 0.7628  1 Tm 3.07, 2 Ce 3.16-3.17, 3 La 3.21-3.26
Te 0.2426 0.2426 0.7576  1 Tm 3.09, 2 Ce 3.17, 3 La 3.23-3.28
Te 0.4027 0.0784 0.2372  1 Tm 3.07, 2 Ce 3.16-3.17, 3 La 3.21-3.26

Computed properties:
The calculation puts the formation energy (no corrections) at -1.448 eV/atom. The spin magnetization is 2.22 Bohr magnetons per cell. The calculation puts the density of states at the Fermi level at 19.4 states/eV per cell. Its space group is C2/m.


# 6
DFT (PBE) results for a geometry-optimized BeCd3In structure.

Unit cell a=4.8464 b=4.8464 c=4.8464 alpha=90.00 beta=90.00 gamma=90.00
Closest atoms and distances in Å follow each position.
Positions (direct):
Be 0.0000 0.0000 0.0000  6 Cd 2.42
Cd 0.0000 0.5000 0.0000  2 Be 2.42
Cd 0.0000 0.0000 0.5000  2 Be 2.42
Cd 0.5000 0.0000 0.0000  2 Be 2.42
In 0.5000 0.5000 0.5000  12 Cd 3.43

Computed properties:
The spin magnetization is 0.00 Bohr magnetons per cell. The calculation puts the density of states at the Fermi level at 1.2 states/eV per cell. As for the energy above the most stable polymorph in this dataset: 0 meV per atom. As for the calculated formation energy: 0.237 eV per atom. Its space group is Pm-3m.


# 7
DFT (PBE) results for a geometry-optimized NdNi4C structure.

Unit cell a=3.5238 b=7.0113 c=6.2159 alpha=90.00 beta=90.00 gamma=90.00
Closest atoms and distances in Å follow each position.
Positions (direct):
Nd 0.0000 0.7500 0.5848  12 Ni 2.87-3.12, 1 C 2.88
Nd 0.0000 0.2500 0.4152  12 Ni 2.87-3.12, 1 C 2.88
Ni 0.0000 0.0000 0.0000  2 C 1.91
Ni 0.5000 0.4367 0.7138  5 Ni 2.40-2.69, 2 C 2.42
Ni 0.5000 0.7500 0.9623  2 C 2.02
Ni 0.0000 0.5000 0.0000  2 C 1.91
Ni 0.5000 0.2500 0.0377  2 C 2.02
Ni 0.5000 0.0633 0.7138  5 Ni 2.40-2.69, 2 C 2.42
Ni 0.5000 0.9367 0.2862  5 Ni 2.40-2.69, 2 C 2.42
Ni 0.5000 0.5633 0.2862  5 Ni 2.40-2.69, 2 C 2.42
C 0.0000 0.7500 0.1216  4 Ni 1.91-2.02
C 0.0000 0.2500 0.8784  4 Ni 1.91-2.02

Computed properties:
The spin magnetization is 0.00 Bohr magnetons per cell. The calculation puts the density of states at the Fermi level at 7.4 states/eV per cell. As for the calculated formation energy: 0.028 eV per atom. Its space group is Pmma.


# 8
DFT (PBE) results for a geometry-optimized K5GaSe4 structure.

Unit cell a=12.7323 b=13.0013 c=15.9563 alpha=90.00 beta=90.00 gamma=90.00
Closest atoms and distances in Å follow each position.
Positions (direct):
K 0.0549 0.3445 0.2771  5 Se 3.23-3.49, 1 Ga 3.54
K 0.5549 0.1555 0.7229  5 Se 3.23-3.49, 1 Ga 3.54
K 0.9451 0.8445 0.2229  5 Se 3.23-3.49, 1 Ga 3.54
K 0.4451 0.6555 0.7771  5 Se 3.23-3.49, 1 Ga 3.54
K 0.9451 0.6555 0.7229  5 Se 3.23-3.49, 1 Ga 3.54
K 0.4451 0.8445 0.2771  5 Se 3.23-3.49, 1 Ga 3.54
K 0.0549 0.1555 0.7771  5 Se 3.23-3.49, 1 Ga 3.54
K 0.5549 0.3445 0.2229  5 Se 3.23-3.49, 1 Ga 3.54
K 0.3860 0.0164 0.0606  5 Se 3.21-3.47, 2 K 3.51-3.52
K 0.8860 0.4836 0.9394  5 Se 3.21-3.47, 2 K 3.51-3.52
K 0.6140 0.5164 0.4394  5 Se 3.21-3.47, 2 K 3.51-3.52
K 0.1140 0.9836 0.5606  5 Se 3.21-3.47, 2 K 3.51-3.52
K 0.6140 0.9836 0.9394  5 Se 3.21-3.47, 2 K 3.51-3.52
K 0.1140 0.5164 0.0606  5 Se 3.21-3.47, 2 K 3.51-3.52
K 0.3860 0.4836 0.5606  5 Se 3.21-3.47, 2 K 3.51-3.52
K 0.8860 0.0164 0.4394  5 Se 3.21-3.47, 2 K 3.51-3.52
K 0.0586 0.0725 0.1079  5 Se 3.32-3.42
K 0.5586 0.4275 0.8921  5 Se 3.32-3.42
K 0.9414 0.5725 0.3921  5 Se 3.32-3.42
K 0.4414 0.9275 0.6079  5 Se 3.32-3.42
K 0.9414 0.9275 0.8921  5 Se 3.32-3.42
K 0.4414 0.5725 0.1079  5 Se 3.32-3.42
K 0.0586 0.4275 0.6079  5 Se 3.32-3.42
K 0.5586 0.0725 0.3921  5 Se 3.32-3.42
K 0.1783 0.6510 0.2684  5 Se 3.35-3.52, 1 Ga 3.59, 2 K 3.71-3.75
K 0.6783 0.8490 0.7316  5 Se 3.35-3.52, 1 Ga 3.59, 2 K 3.71-3.75
K 0.8217 0.1510 0.2316  5 Se 3.35-3.52, 1 Ga 3.59, 2 K 3.71-3.75
K 0.3217 0.3490 0.7684  5 Se 3.35-3.52, 1 Ga 3.59, 2 K 3.71-3.75
K 0.8217 0.3490 0.7316  5 Se 3.35-3.52, 1 Ga 3.59, 2 K 3.71-3.75
K 0.3217 0.1510 0.2684  5 Se 3.35-3.52, 1 Ga 3.59, 2 K 3.71-3.75
K 0.1783 0.8490 0.7684  5 Se 3.35-3.52, 1 Ga 3.59, 2 K 3.71-3.75
K 0.6783 0.6510 0.2316  5 Se 3.35-3.52, 1 Ga 3.59, 2 K 3.71-3.75
K 0.2723 0.7890 0.9833  5 Se 3.30-3.65, 1 K 3.52
K 0.7723 0.7110 0.0167  5 Se 3.30-3.65, 1 K 3.52
K 0.7277 0.2890 0.5167  5 Se 3.30-3.65, 1 K 3.52
K 0.2277 0.2110 0.4833  5 Se 3.30-3.65, 1 K 3.52
K 0.7277 0.2110 0.0167  5 Se 3.30-3.65, 1 K 3.52
K 0.2277 0.2890 0.9833  5 Se 3.30-3.65, 1 K 3.52
K 0.2723 0.7110 0.4833  5 Se 3.30-3.65, 1 K 3.52
K 0.7723 0.7890 0.5167  5 Se 3.30-3.65, 1 K 3.52
Ga 0.1641 0.9377 0.3364  4 Se 2.46-2.48
Ga 0.6641 0.5623 0.6636  4 Se 2.46-2.48
Ga 0.8359 0.4377 0.1636  4 Se 2.46-2.48
Ga 0.3359 0.0623 0.8364  4 Se 2.46-2.48
Ga 0.8359 0.0623 0.6636  4 Se 2.46-2.48
Ga 0.3359 0.4377 0.3364  4 Se 2.46-2.48
Ga 0.1641 0.5623 0.8364  4 Se 2.46-2.48
Ga 0.6641 0.9377 0.1636  4 Se 2.46-2.48
Se 0.0697 0.1019 0.3203  1 Ga 2.46
Se 0.5697 0.3981 0.6797  1 Ga 2.46
Se 0.9303 0.6019 0.1797  1 Ga 2.46
Se 0.4303 0.8981 0.8203  1 Ga 2.46
Se 0.9303 0.8981 0.6797  1 Ga 2.46
Se 0.4303 0.6019 0.3203  1 Ga 2.46
Se 0.0697 0.3981 0.8203  1 Ga 2.46
Se 0.5697 0.1019 0.1797  1 Ga 2.46
Se 0.3189 0.9676 0.4274  1 Ga 2.48
Se 0.8189 0.5324 0.5726  1 Ga 2.48
Se 0.6811 0.4676 0.0726  1 Ga 2.48
Se 0.1811 0.0324 0.9274  1 Ga 2.48
Se 0.6811 0.0324 0.5726  1 Ga 2.48
Se 0.1811 0.4676 0.4274  1 Ga 2.48
Se 0.3189 0.5324 0.9274  1 Ga 2.48
Se 0.8189 0.9676 0.0726  1 Ga 2.48
Se 0.2130 0.8882 0.1918  1 Ga 2.47
Se 0.7130 0.6118 0.8082  1 Ga 2.47
Se 0.7870 0.3882 0.3082  1 Ga 2.47
Se 0.2870 0.1118 0.6918  1 Ga 2.47
Se 0.7870 0.1118 0.8082  1 Ga 2.47
Se 0.2870 0.3882 0.1918  1 Ga 2.47
Se 0.2130 0.6118 0.6918  1 Ga 2.47
Se 0.7130 0.8882 0.3082  1 Ga 2.47
Se 0.0526 0.8110 0.4091  1 Ga 2.46
Se 0.5526 0.6890 0.5909  1 Ga 2.46
Se 0.9474 0.3110 0.0909  1 Ga 2.46
Se 0.4474 0.1890 0.9091  1 Ga 2.46
Se 0.9474 0.1890 0.5909  1 Ga 2.46
Se 0.4474 0.3110 0.4091  1 Ga 2.46
Se 0.0526 0.6890 0.9091  1 Ga 2.46
Se 0.5526 0.8110 0.0909  1 Ga 2.46

Computed properties:
The calculation puts the formation energy (no corrections) at -1.103 eV/atom. The spin magnetization is 0.00 Bohr magnetons per cell. The calculation puts the density of states at the Fermi level at 0.0 states/eV per cell. Its space group is Pbca.


# 9
DFT (PBE) results for a geometry-optimized Na2AsH2 structure.

Unit cell a=4.0173 b=4.0173 c=5.5467 alpha=68.77 beta=68.77 gamma=90.00
Closest atoms and distances in Å follow each position.
Positions (direct):
Na 0.3399 0.3399 0.3202  4 H 2.18
Na 0.6601 0.6601 0.6798  4 H 2.18
As 0.0000 0.0000 0.0000  8 H 3.12, 10 Na 3.22-3.24
H 0.7500 0.2500 0.5000  4 Na 2.18
H 0.2500 0.7500 0.5000  4 Na 2.18

Computed properties:
The spin magnetization is 0.00 Bohr magnetons per cell. The calculation puts the density of states at the Fermi level at 3.5 states/eV per cell. As for the energy above the most stable polymorph in this dataset: 428 meV per atom. Its space group is I4/mmm.


# 10
DFT (PBE) results for a geometry-optimized PmLuCoNi structure.

Unit cell a=4.7604 b=4.7604 c=4.7604 alpha=60.00 beta=60.00 gamma=60.00
Closest atoms and distances in Å follow each position.
Positions (direct):
Ni 0.2500 0.2500 0.2500  4 Pm 2.92, 4 Lu 2.92
Lu 0.0000 0.0000 0.0000  4 Ni 2.92, 4 Co 2.92
Co 0.7500 0.7500 0.7500  4 Pm 2.92, 4 Lu 2.92
Pm 0.5000 0.5000 0.5000  4 Co 2.92, 4 Ni 2.92

Computed properties:
The spin magnetization is 0.16 Bohr magnetons per cell. The calculation puts the density of states at the Fermi level at 2.9 states/eV per cell. As for the calculated formation energy: -0.222 eV per atom. Its space group is F-43m.


# 11
DFT (PBE) results for a geometry-optimized CaZnBi2W structure.

Unit cell a=5.3413 b=5.3413 c=5.2767 alpha=90.00 beta=90.00 gamma=90.00
Closest atoms and distances in Å follow each position.
Positions (direct):
Zn 0.0000 0.0000 0.0000  2 Ca 2.64, 4 Bi 2.67
Ca 0.0000 0.0000 0.5000  2 Zn 2.64
Bi 0.0000 0.5000 0.0000  2 Zn 2.67
Bi 0.5000 0.0000 0.0000  2 Zn 2.67
W 0.5000 0.5000 0.5000  8 Bi 3.75, 4 Ca 3.78

Computed properties:
The spin magnetization is 3.92 Bohr magnetons per cell. The calculation puts the density of states at the Fermi level at 4.2 states/eV per cell. As for the calculated formation energy: 1.192 eV per atom. Its space group is P4/mmm.